Here is MgNi5O6 after structural relaxation from Alexandria. Energies are from PBE with a Hubbard U.

The structure in POSCAR format:
```
MgNi5O6
1.0
5.087 -0.080 -0.959
-2.749 4.281 -0.959
0.100 0.179 5.175
Ni Mg O
5 1 6
direct
0.832 0.168 0.500
0.666 0.334 0.000
0.500 0.500 0.500
0.334 0.666 0.000
0.168 0.832 0.500
0.000 0.000 0.000
0.416 0.083 0.249
0.917 0.584 0.751
0.250 0.250 0.750
0.750 0.750 0.250
0.083 0.416 0.249
0.584 0.917 0.751
```

**Magnetic moment**: 10.00 μB per cell
**Crystal system**: monoclinic
**DFT total energy**: -5.022 eV per atom